(1)
## CdRu3Br (PBE)

Data for a relaxed structure of CdRu3Br.

Summary:
total moment	0.00	μB/atom
total energy	-4.761	eV per atom
uncorrected formation energy	1.32	eV/atom

abc: 4.5599 4.5599 4.5599
angles: 90.00 90.00 90.00
Atoms (fractional coordinates):
1 Ru 0.0000 0.5000 0.0000
2 Ru 0.0000 0.0000 0.5000
3 Ru 0.5000 0.0000 0.0000
4 Cd 0.5000 0.5000 0.5000
5 Br 0.0000 0.0000 0.0000

***

(2)
## ZnGaIrPd (PBE)

Data for a relaxed structure of ZnGaIrPd.

Summary:
total moment	0.00	μB/atom
formation energy	-0.47	eV/atom
total energy	-5.055	eV per atom

abc: 3.0223 3.0223 6.2889
angles: 90.00 90.00 90.00
Atoms (fractional coordinates):
1 Pd 0.0000 0.0000 0.8525
2 Zn 0.5000 0.5000 0.1110
3 Ir 0.0000 0.0000 0.3650
4 Ga 0.5000 0.5000 0.5995